Record 1
Computed, not measured: a relaxed structure of TcIr2Pt2 at the GGA-PBE level of DFT.

Unit cell a=3.6530 b=3.6530 c=6.8277 alpha=74.48 beta=74.48 gamma=90.00
Fractional positions:
Ir: 0.4045 0.4045 0.1909
Ir: 0.5955 0.5955 0.8091
Tc: 0.0000 0.0000 0.0000
Pt: 0.7500 0.2500 0.5000
Pt: 0.2500 0.7500 0.5000

Calculated values
Crystal system   tetragonal
Energy of formation from the pure elements   0.51 eV/atom
Excess energy over the best structure of this formula in the dataset   610.5 meV/atom

Record 2
Computed, not measured: a relaxed structure of Tc2IrPt at the GGA-PBE level of DFT.

Unit cell a=4.4150 b=2.7405 c=4.8447 alpha=90.00 beta=90.00 gamma=90.00
Fractional positions:
Ir: 0.0000 0.6250 0.4565
Tc: 0.0000 0.1250 0.9687
Tc: 0.5000 0.1250 0.2871
Pt: 0.5000 0.6250 0.7877

Calculated values
Crystal system   orthorhombic
Energy of formation from the pure elements   -0.21 eV/atom
Excess energy over the best structure of this formula in the dataset   0.0 meV/atom

Record 3
Computed, not measured: a relaxed structure of TeIr3Pt at the GGA-PBE level of DFT.

Unit cell a=4.8317 b=4.8317 c=4.8317 alpha=90.00 beta=90.00 gamma=90.00
Fractional positions:
Ir: 0.0000 0.5000 0.0000
Ir: 0.0000 0.0000 0.5000
Ir: 0.5000 0.0000 0.0000
Te: 0.5000 0.5000 0.5000
Pt: 0.0000 0.0000 0.0000

Calculated values
Crystal system   cubic
Excess energy over the best structure of this formula in the dataset   0.0 meV/atom

Record 4
Computed, not measured: a relaxed structure of Te4IrPt at the GGA-PBE level of DFT.

Unit cell a=5.9982 b=5.9982 c=5.9982 alpha=60.00 beta=60.00 gamma=60.00
Fractional positions:
Te: 0.8760 0.3747 0.3747
Te: 0.3747 0.3747 0.8760
Te: 0.3747 0.8760 0.3747
Te: 0.3747 0.3747 0.3747
Ir: 0.7500 0.7500 0.7500
Pt: 0.0000 0.0000 0.0000

Calculated values
Crystal system   cubic
Excess energy over the best structure of this formula in the dataset   1756.3 meV/atom

Record 5
Computed, not measured: a relaxed structure of TeIr2Pt at the GGA-PBE level of DFT.

Unit cell a=2.9086 b=2.9086 c=8.1830 alpha=90.00 beta=90.00 gamma=90.00
Fractional positions:
Ir: 0.0000 0.0000 0.0286
Ir: 0.5000 0.5000 0.2410
Pt: 0.0000 0.0000 0.4720
Te: 0.5000 0.5000 0.7583

Calculated values
Crystal system   tetragonal
Total DFT energy (no corrections)   -6.325 eV/atom

Record 6
Computed, not measured: a relaxed structure of TeIr4Pt at the GGA-PBE level of DFT.

Unit cell a=5.2540 b=5.2540 c=5.2540 alpha=60.00 beta=60.00 gamma=60.00
Fractional positions:
Te: 0.0000 0.0000 0.0000
Ir: 0.6245 0.6245 0.1266
Ir: 0.6245 0.1266 0.6245
Ir: 0.6245 0.6245 0.6245
Ir: 0.1266 0.6245 0.6245
Pt: 0.2500 0.2500 0.2500

Calculated values
Crystal system   cubic
Total DFT energy (no corrections)   -6.814 eV/atom